Compound: DyTh2Mg
Source: Alexandria
Functional: GGA-PBE
Structure: relaxed

Properties
Energy relative to the lowest polymorph listed for this composition, meV per atom: 55

abc: 4.8971 4.8971 5.0132
angles: 90.00 90.00 90.00
Space group P4/mmm (No. 123)
Symmetry-distinct sites (fractional):
Dy 0.0000 0.0000 0.0000 (multiplicity 1)
Th 0.0000 0.5000 0.5000 (multiplicity 2)
Mg 0.5000 0.5000 0.0000 (multiplicity 1)

Compound: Dy6ThMg
Source: Alexandria
Functional: GGA-PBE
Structure: relaxed

abc: 5.0053 5.0053 9.8182
angles: 90.00 90.00 90.00
Space group P4/mmm (No. 123)
Symmetry-distinct sites (fractional):
Dy 0.0000 0.0000 0.0000 (multiplicity 1)
Dy 0.0000 0.0000 0.5000 (multiplicity 1)
Dy 0.0000 0.5000 0.2505 (multiplicity 4)
Th 0.5000 0.5000 0.0000 (multiplicity 1)
Mg 0.5000 0.5000 0.5000 (multiplicity 1)

Compound: Dy3Th5Mg12
Source: Alexandria
Functional: GGA-PBE
Structure: relaxed

abc: 17.9970 17.9970 17.9970
angles: 90.00 90.00 90.00
Space group Ia-3d (No. 230)
Symmetry-distinct sites (fractional):
Dy 0.0000 0.2500 0.1250 (multiplicity 24)
Th 0.0000 0.0000 0.0000 (multiplicity 16)
Th 0.0000 0.2500 0.3750 (multiplicity 24)
Mg 0.0002 0.0801 0.1523 (multiplicity 96)

Compound: DyThMg17
Source: Alexandria
Functional: GGA-PBE
Structure: relaxed

abc: 10.2116 10.2116 15.1792
angles: 90.00 90.00 120.00
Space group R3m (No. 160, hexagonal axes)
Symmetry-distinct sites (fractional):
Dy 0.0000 0.0000 0.0000 (multiplicity 3)
Th 0.0000 0.0000 0.3407 (multiplicity 3)
Mg 0.0000 0.0000 0.5728 (multiplicity 3)
Mg 0.0000 0.0000 0.7708 (multiplicity 3)
Mg 0.0011 0.3046 0.6707 (multiplicity 18)
Mg 0.0065 0.5032 0.1689 (multiplicity 9)
Mg 0.0148 0.5074 0.8234 (multiplicity 9)
Mg 0.1688 0.3376 0.8535 (multiplicity 9)

Compound: DyTh2Mg
Source: Alexandria
Functional: GGA-PBE
Structure: relaxed

Properties
Energy relative to the lowest polymorph listed for this composition, meV per atom: 75

abc: 3.4822 3.4822 10.0455
angles: 90.00 90.00 90.00
Space group P4/mmm (No. 123)
Symmetry-distinct sites (fractional):
Dy 0.0000 0.0000 0.0000 (multiplicity 1)
Th 0.5000 0.5000 0.2585 (multiplicity 2)
Mg 0.0000 0.0000 0.5000 (multiplicity 1)

Compound: Dy2ThMg2
Source: Alexandria
Functional: GGA-PBE
Structure: relaxed

abc: 3.5081 24.3589 3.4661
angles: 90.00 90.00 90.00
Space group Cmmm (No. 65)
Symmetry-distinct sites (fractional):
Dy 0.0000 0.1017 0.0000 (multiplicity 4)
Th 0.0000 0.5000 0.5000 (multiplicity 2)
Mg 0.0000 0.3022 0.5000 (multiplicity 4)

Compound: DyThMg2
Source: Alexandria
Functional: GGA-PBE
Structure: relaxed

Properties
Energy relative to the lowest polymorph listed for this composition, meV per atom: 3

abc: 3.7829 3.7829 7.7398
angles: 90.00 90.00 90.00
Space group P4/mmm (No. 123)
Symmetry-distinct sites (fractional):
Dy 0.0000 0.0000 0.0000 (multiplicity 1)
Th 0.0000 0.0000 0.5000 (multiplicity 1)
Mg 0.5000 0.5000 0.2389 (multiplicity 2)

Compound: DyTh2Mg
Source: Alexandria
Functional: GGA-PBE
Structure: relaxed

Properties
Energy relative to the lowest polymorph listed for this composition, meV per atom: 267

abc: 3.4264 3.4264 37.7886
angles: 90.00 90.00 120.00
Space group R-3m (No. 166, hexagonal axes)
Symmetry-distinct sites (fractional):
Dy 0.0000 0.0000 0.0000 (multiplicity 3)
Th 0.0000 0.0000 0.4117 (multiplicity 6)
Mg 0.0000 0.0000 0.5000 (multiplicity 3)

Compound: Dy2Th2Mg
Source: Alexandria
Functional: GGA-PBE
Structure: relaxed

abc: 3.6105 3.6105 23.1061
angles: 90.00 90.00 90.00
Space group I4/mmm (No. 139)
Symmetry-distinct sites (fractional):
Dy 0.0000 0.0000 0.0919 (multiplicity 4)
Th 0.0000 0.0000 0.3027 (multiplicity 4)
Mg 0.0000 0.0000 0.5000 (multiplicity 2)

Compound: DyTh2Mg
Source: Alexandria
Functional: GGA-PBE
Structure: relaxed

Properties
Energy relative to the lowest polymorph listed for this composition, meV per atom: 92

abc: 3.4529 3.4529 35.4098
angles: 90.00 90.00 120.00
Space group R3m (No. 160, hexagonal axes)
Symmetry-distinct sites (fractional):
Dy 0.0000 0.0000 0.0000 (multiplicity 3)
Th 0.0000 0.0000 0.4174 (multiplicity 3)
Th 0.0000 0.0000 0.5819 (multiplicity 3)
Mg 0.0000 0.0000 0.1662 (multiplicity 3)

Respective DFT total energy values: -20.8; -36.3; -406.9; -117.4; -20.7; -39.2; -15.2; -59.8; -51.5; -61.9 eV for the cell shown.
Respective ΔH_f (0 K) values: 0.06; 0.04; 0.96; 0.00; 0.08; 0.04; 0.01; 0.27; -0.03; 0.10 eV per atom.